[1]
Crystalline PmPbSe2 at its relaxed geometry. Source: Alexandria, functional PBE.

Lattice parameters (Å, degrees): 4.0969 4.0969 8.1983 75.53 75.53 60.00
With the nearest neighbours (Å) after each atom.
Atoms (fractional coordinates):
Pm (0.5005, 0.5005, 0.4986)  6 Se 3.00
Pb (0.6654, 0.6654, 0.0037)  6 Se 3.13-3.18
Se (0.0888, 0.0888, 0.7336)  3 Pm 3.00, 3 Pb 3.18
Se (0.2453, 0.2453, 0.2641)  3 Pm 3.00, 3 Pb 3.13

Output
Space-group type: R3m


[2]
Crystalline Pm4Pb3Se at its relaxed geometry. Source: Alexandria, functional PBE.

Lattice parameters (Å, degrees): 4.2885 7.8420 7.8420 107.24 90.00 90.00
With the nearest neighbours (Å) after each atom.
Atoms (fractional coordinates):
Pm (0.0000, 0.2339, 0.2339)  2 Se 3.05, 4 Pb 3.16-3.27
Pm (0.5000, 0.7576, 0.2424)  1 Se 3.06, 5 Pb 3.16-3.25
Pm (0.0000, 0.7661, 0.7661)  2 Se 3.05, 4 Pb 3.16-3.27
Pm (0.5000, 0.2424, 0.7576)  1 Se 3.06, 5 Pb 3.16-3.25
Pb (0.0000, 0.0000, 0.5000)  6 Pm 3.16
Pb (0.5000, 0.5000, 0.5000)  6 Pm 3.25-3.27
Pb (0.0000, 0.5000, 0.0000)  6 Pm 3.16
Se (0.5000, 0.0000, 0.0000)  6 Pm 3.05-3.06

Output
Space-group type: Cmmm


Number 1: formation energy without anion corrections -1.11 eV/atom. Number 2: formation energy without anion corrections -0.81 eV/atom.